Version a
# HPtAu3 | Alexandria via LeMat-Bulk | PBE-GGA | optimized geometry
data_HPtAu3
_chemical_formula_sum 'H1 Pt1 Au3'
_symmetry_space_group_name_H-M 'P m -3 m'
_symmetry_Int_Tables_number 221
_symmetry_space_group_name_Hall '-P 4 2 3'
_cell_length_a 5.1314
_cell_length_b 5.1314
_cell_length_c 5.1314
_cell_angle_alpha 90.00
_cell_angle_beta 90.00
_cell_angle_gamma 90.00
loop_
_atom_site_label
_atom_site_type_symbol
_atom_site_fract_x
_atom_site_fract_y
_atom_site_fract_z
H1 H 0.0000 0.0000 0.0000
Pt1 Pt 0.5000 0.5000 0.5000
Au1 Au 0.0000 0.5000 0.5000
# Total moment ... 0.166 μB per atom

=====

Version b
# HPtAu3 | Alexandria via LeMat-Bulk | PBE-GGA | optimized geometry
data_HPtAu3
_chemical_formula_sum 'H1 Pt1 Au3'
_symmetry_space_group_name_H-M 'P m -3 m'
_symmetry_Int_Tables_number 221
_symmetry_space_group_name_Hall '-P 4 2 3'
_cell_length_a 4.1760
_cell_length_b 4.1760
_cell_length_c 4.1760
_cell_angle_alpha 90.00
_cell_angle_beta 90.00
_cell_angle_gamma 90.00
loop_
_atom_site_label
_atom_site_type_symbol
_atom_site_fract_x
_atom_site_fract_y
_atom_site_fract_z
H1 H 0.0000 0.0000 0.0000
Pt1 Pt 0.5000 0.5000 0.5000
Au1 Au 0.0000 0.0000 0.5000
# Total moment ... 0.000 μB per atom

=====

Need the numbers? Relative energies in eV/atom: version a 0.979; version b 0.000.

=====

Version a
# H3PtAu | Alexandria via LeMat-Bulk | PBE-GGA | optimized geometry
data_H3PtAu
_chemical_formula_sum 'H3 Pt1 Au1'
_symmetry_space_group_name_H-M 'P m -3 m'
_symmetry_Int_Tables_number 221
_symmetry_space_group_name_Hall '-P 4 2 3'
_cell_length_a 3.6034
_cell_length_b 3.6034
_cell_length_c 3.6034
_cell_angle_alpha 90.00
_cell_angle_beta 90.00
_cell_angle_gamma 90.00
loop_
_atom_site_label
_atom_site_type_symbol
_atom_site_fract_x
_atom_site_fract_y
_atom_site_fract_z
H1 H 0.0000 0.0000 0.5000
Pt1 Pt 0.0000 0.0000 0.0000
Au1 Au 0.5000 0.5000 0.5000
# Total moment ... 0.000 μB per atom

=====

Version b
# H3PtAu | Alexandria via LeMat-Bulk | PBE-GGA | optimized geometry
data_H3PtAu
_chemical_formula_sum 'H3 Pt1 Au1'
_symmetry_space_group_name_H-M 'P m -3 m'
_symmetry_Int_Tables_number 221
_symmetry_space_group_name_Hall '-P 4 2 3'
_cell_length_a 3.6210
_cell_length_b 3.6210
_cell_length_c 3.6210
_cell_angle_alpha 90.00
_cell_angle_beta 90.00
_cell_angle_gamma 90.00
loop_
_atom_site_label
_atom_site_type_symbol
_atom_site_fract_x
_atom_site_fract_y
_atom_site_fract_z
H1 H 0.0000 0.0000 0.5000
Pt1 Pt 0.5000 0.5000 0.5000
Au1 Au 0.0000 0.0000 0.0000
# Total moment ... 0.000 μB per atom

=====

Need the numbers? Relative energies in eV/atom: version a 0.000; version b 0.398.